## LiTiP2O7 (GGA-PBEsol)

Data for an optimized crystal structure of LiTiP2O7.

Cell: 6.684 8.167 9.368 Å, 90.00 106.54 90.00°
Last column: magnetic moment on the atom in μB.
Element x y z (fractional)
Li 0.214 0.116 0.561  0.00
Li 0.214 0.384 0.061  0.00
Li 0.786 0.616 0.939  0.00
Li 0.786 0.884 0.439  0.00
Ti 0.280 0.773 0.995  0.90
Ti 0.280 0.727 0.495  0.90
Ti 0.720 0.273 0.505  0.90
Ti 0.720 0.227 0.005  0.90
P 0.046 0.538 0.713  0.01
P 0.046 0.962 0.213  0.01
P 0.539 0.919 0.792  0.01
P 0.461 0.419 0.708  0.01
P 0.539 0.581 0.292  0.01
P 0.461 0.081 0.208  0.01
P 0.954 0.038 0.787  0.01
P 0.954 0.462 0.287  0.01
O 0.066 0.594 0.873  0.00
O 0.152 0.939 0.847  -0.01
O 0.067 0.676 0.609  0.00
O 0.228 0.402 0.726  0.00
O 0.066 0.906 0.373  0.00
O 0.152 0.561 0.347  -0.01
O 0.067 0.824 0.109  0.00
O 0.519 0.770 0.886  0.00
O 0.392 0.917 0.632  -0.01
O 0.228 0.098 0.226  0.00
O 0.527 0.082 0.865  -0.01
O 0.473 0.582 0.635  -0.01
O 0.608 0.417 0.868  -0.01
O 0.481 0.270 0.614  0.00
O 0.519 0.730 0.386  0.00
O 0.392 0.583 0.132  -0.01
O 0.527 0.418 0.365  -0.01
O 0.473 0.918 0.135  -0.01
O 0.772 0.902 0.774  0.00
O 0.608 0.083 0.368  -0.01
O 0.481 0.230 0.114  0.00
O 0.933 0.176 0.891  0.00
O 0.848 0.439 0.653  -0.01
O 0.934 0.094 0.627  0.00
O 0.772 0.598 0.274  0.00
O 0.933 0.324 0.391  0.00
O 0.848 0.061 0.153  -0.01
O 0.934 0.406 0.127  0.00

## Properties
The space group is P2_1/c (14). As for the formation energy from raw total energies: -2.4007 eV per atom. The volume is 490.2 Å³ per cell. As for the relative energy among the computed polymorphs: 31.8 meV per atom.

=====

## LiTi2P3O12 (GGA-PBEsol)

Data for an optimized crystal structure of LiTi2P3O12.

Cell: 8.578 8.641 11.910 Å, 90.00 90.00 89.97°
Element x y z (fractional)
Li 0.285 0.776 0.182
Li 0.785 0.776 0.318
Li 0.215 0.224 0.682
Li 0.715 0.224 0.818
Ti 0.752 0.971 0.116
Ti 0.248 0.456 0.118
Ti 0.748 0.456 0.382
Ti 0.252 0.971 0.384
Ti 0.252 0.544 0.618
Ti 0.748 0.029 0.616
Ti 0.248 0.029 0.884
Ti 0.752 0.544 0.882
P 0.035 0.747 0.002
P 0.397 0.108 0.145
P 0.606 0.612 0.146
P 0.106 0.612 0.354
P 0.897 0.108 0.355
P 0.535 0.747 0.498
P 0.465 0.253 0.502
P 0.894 0.388 0.646
P 0.103 0.892 0.645
P 0.603 0.892 0.855
P 0.394 0.388 0.854
P 0.965 0.253 0.998
O 0.341 0.063 0.026
O 0.665 0.573 0.028
O 0.057 0.362 0.075
O 0.925 0.837 0.080
O 0.154 0.661 0.074
O 0.873 0.141 0.074
O 0.427 0.601 0.152
O 0.575 0.097 0.154
O 0.345 0.273 0.172
O 0.652 0.779 0.180
O 0.323 0.989 0.225
O 0.678 0.499 0.232
O 0.823 0.989 0.275
O 0.178 0.499 0.268
O 0.152 0.779 0.320
O 0.845 0.273 0.328
O 0.075 0.097 0.346
O 0.927 0.601 0.348
O 0.373 0.141 0.426
O 0.654 0.661 0.426
O 0.425 0.837 0.420
O 0.557 0.362 0.425
O 0.165 0.573 0.472
O 0.841 0.063 0.474
O 0.835 0.427 0.528
O 0.159 0.937 0.526
O 0.443 0.638 0.575
O 0.575 0.163 0.580
O 0.346 0.339 0.574
O 0.627 0.859 0.574
O 0.073 0.399 0.652
O 0.925 0.903 0.654
O 0.848 0.221 0.680
O 0.155 0.727 0.672
O 0.177 0.011 0.725
O 0.822 0.501 0.732
O 0.677 0.011 0.775
O 0.322 0.501 0.768
O 0.655 0.727 0.828
O 0.348 0.221 0.820
O 0.425 0.903 0.846
O 0.573 0.399 0.848
O 0.127 0.859 0.926
O 0.075 0.163 0.920
O 0.846 0.339 0.926
O 0.943 0.638 0.925
O 0.659 0.937 0.974
O 0.335 0.427 0.972

## Properties
The space group is P2_1/c (14). As for the formation energy from raw total energies: -2.5755 eV per atom. The volume is 882.8 Å³ per cell. As for the relative energy among the computed polymorphs: 1.2 meV per atom.

=====

Look up the volume of the second one.
882.8 Å³ per cell

=====

Among the records above, which one has the highest relative energy among the computed polymorphs?
LiTiP2O7